Model 1:
LaNdThMg | PBE | relaxed

Values from the calculation:
DOS(E_F)	3.7	states/eV/cell
total magnetization	0.00	μB per formula unit

Lattice parameters (Å, degrees): 3.660 3.660 9.542 90.00 90.00 90.00
Fractional coordinates of all 4 atoms:
La1 0.000 0.000 0.076
Mg1 0.500 0.500 0.326
Th1 0.500 0.500 0.819
Nd1 0.000 0.000 0.564

***

Model 2:
LaNdThMg | PBE | relaxed

Values from the calculation:
DOS(E_F)	6.7	states/eV/cell
total magnetization	0.04	μB per formula unit

Lattice parameters (Å, degrees): 5.673 5.673 5.673 60.00 60.00 60.00
Fractional coordinates of all 4 atoms:
La1 0.000 0.000 0.000
Nd1 0.500 0.500 0.500
Th1 0.750 0.750 0.750
Mg1 0.250 0.250 0.250

***

Which structure above is the least stable? It is model 2.